(a)
LiMnTc2, relaxed, DFT PBE; symmetry = No. 166; magnetic moment = 0.028 μB per atom; crystal system = trigonal
1.0
9.0779 -0.0005 -0.0003
8.6867 2.6360 -0.0003
8.6867 1.2887 2.2995
Li Mn Tc
1 1 2
Cartesian
6.6128 0.9811 0.5747
19.8385 2.9432 1.7242
0.1746 0.0259 0.0152
13.0511 1.9362 1.1343

(b)
LiMnTc2, relaxed, DFT PBE; symmetry = No. 35; magnetic moment = 0.722 μB per atom; crystal system = orthorhombic
1.0
2.6475 -0.0127 0.0000
-0.9766 2.4608 0.0000
0.0000 0.0000 8.9324
Li Mn Tc
1 1 2
Cartesian
0.0000 0.0000 4.4725
0.8355 1.2241 6.8157
0.0000 0.0000 8.8883
0.8355 1.2241 2.1544

Ordering by calculated energy gives the sequence (a), (b), with the first entry being the most stable.

(a)
LiMnTc2, relaxed, DFT PBE; symmetry = No. 225; magnetic moment = 0.000 μB per atom; crystal system = cubic
1.0
-3.7351 -1.0145 1.4723
-2.8196 2.9501 0.7032
-3.3362 0.2981 -2.4349
Mn Tc Li
1 2 1
Cartesian
-4.9454 1.1168 -0.1297
-2.4727 0.5584 -0.0648
-7.4182 1.6753 -0.1945
0.0000 0.0000 0.0000

(b)
LiMnTc2, relaxed, DFT PBE; symmetry = No. 123; magnetic moment = 0.001 μB per atom; crystal system = tetragonal
1.0
2.5921 0.0000 0.0000
0.0000 2.5921 0.0000
0.0000 0.0000 8.1564
Li Mn Tc
1 1 2
Cartesian
1.2961 1.2961 2.0391
1.2961 1.2961 6.1173
0.0000 0.0000 7.9478
0.0000 0.0000 4.2868

(c)
LiMnTc2, relaxed, DFT PBE; symmetry = No. 10; magnetic moment = 0.480 μB per atom; crystal system = monoclinic
1.0
4.1683 0.0000 0.0000
0.0000 2.5711 0.0241
0.0000 0.9927 4.9826
Li Mn Tc
1 1 2
Cartesian
2.0841 0.8909 1.2517
2.0841 2.6728 3.7550
0.0000 2.5550 0.0457
0.0000 1.7979 2.4817

Ordering by calculated energy gives the sequence (c), (b), (a), with the first entry being the most stable.

(a)
LiMn3Tc, relaxed, DFT PBE; symmetry = No. 221; magnetic moment = 0.563 μB per atom; crystal system = cubic
1.0
3.8867 0.0000 0.0000
0.0000 3.8867 0.0000
0.0000 0.0000 3.8867
Mn Tc Li
3 1 1
Cartesian
0.0000 1.9434 0.0000
0.0000 0.0000 1.9434
1.9434 0.0000 0.0000
1.9434 1.9434 1.9434
0.0000 0.0000 0.0000

(b)
LiMn3Tc, relaxed, DFT PBE; symmetry = No. 221; magnetic moment = 2.102 μB per atom; crystal system = cubic
1.0
-1.7105 -1.1137 4.2554
0.1534 -4.5781 -1.1365
4.3960 -0.2736 1.6954
Mn Tc Li
3 1 1
Cartesian
0.0767 -2.2891 -0.5683
2.1980 -0.1368 0.8477
-0.8552 -0.5568 2.1277
0.0000 0.0000 0.0000
1.4195 -2.9827 2.4072

Ordering by calculated energy gives the sequence (b), (a), with the first entry being the most stable.

(a)
Li2Mn2Tc, relaxed, DFT PBE; symmetry = No. 127; magnetic moment = 1.321 μB per atom; crystal system = tetragonal
1.0
-2.6304 -6.2311 -1.9333
6.2871 -2.9778 1.0436
-0.6524 -0.5007 2.5013
Mn Tc Li
4 2 4
Cartesian
3.5218 -3.5132 1.6011
2.9279 -6.9704 0.7541
-0.5174 -6.1964 0.0105
0.0765 -2.7392 0.8575
0.0000 0.0000 0.0000
1.8284 -4.6044 -0.4449
4.5692 -5.0792 0.1749
1.4952 -7.3617 -1.0837
-0.9125 -4.1297 -1.0647
2.1615 -1.8472 0.1940

(b)
Li2Mn2Tc, relaxed, DFT PBE; symmetry = No. 139; magnetic moment = 0.000 μB per atom; crystal system = tetragonal
1.0
-1.3604 0.4476 -3.0265
2.5865 -1.6007 -1.3994
-1.8088 -4.8844 -1.7615
Mn Tc Li
2 1 2
Cartesian
-1.2781 -2.5066 -3.5004
0.6954 -3.5308 -2.6869
0.0000 0.0000 0.0000
0.1838 -1.3400 -2.1329
-0.7665 -4.6975 -4.0544

Ordering by calculated energy gives the sequence (a), (b), with the first entry being the most stable.

(a)
LiTi2Mn, relaxed, DFT PBE; symmetry = No. 122; magnetic moment = 0.000 μB per atom; crystal system = tetragonal
1.0
-3.7927 1.3292 -5.2625
-4.3925 -4.5230 2.0232
-6.5278 1.9543 1.0324
Mn Li Ti
2 2 4
Cartesian
0.0000 0.0000 0.0000
-7.2065 0.8433 -2.9248
-4.0926 -1.5969 -1.6196
-7.5064 -2.0828 0.7180
-5.5035 1.0877 -4.0991
-7.6919 -1.1766 -3.0766
-6.8626 1.4035 -0.9483
-8.7681 2.0587 -3.5753

(b)
LiTi2Mn, relaxed, DFT PBE; symmetry = No. 123; magnetic moment = 0.001 μB per atom; crystal system = tetragonal
1.0
-2.4304 1.5796 0.9703
-1.6185 -0.0645 -3.9493
-2.0204 -3.6538 0.8877
Mn Li Ti
1 1 2
Cartesian
-3.0347 -1.0693 -1.0457
-1.2152 0.7898 0.4851
-1.0102 -1.8269 0.4438
-0.8093 -0.0322 -1.9746

(c)
LiTi2Mn, relaxed, DFT PBE; symmetry = No. 123; magnetic moment = 0.000 μB per atom; crystal system = tetragonal
1.0
2.9389 0.0000 0.0000
0.0000 2.9389 0.0000
0.0000 0.0000 7.3415
Mn Li Ti
1 1 2
Cartesian
1.4694 1.4694 0.0000
1.4694 1.4694 3.6708
0.0000 0.0000 5.9108
0.0000 0.0000 1.4307

Ordering by calculated energy gives the sequence (c), (b), (a), with the first entry being the most stable.

(a)
LiMnTl, relaxed, DFT PBE; symmetry = No. 216; magnetic moment = 1.088 μB per atom; crystal system = cubic
1.0
-0.0217 4.4156 -1.0100
-1.1022 1.3626 -4.1770
-3.9271 2.1389 -0.7222
Li Mn Tl
1 1 1
Cartesian
0.0000 0.0000 0.0000
-2.5255 3.9585 -2.9546
-3.7882 5.9378 -4.4318

(b)
LiMnTl, relaxed, DFT PBE; symmetry = No. 44; magnetic moment = 1.352 μB per atom; crystal system = orthorhombic
1.0
5.0331 0.0415 -0.0678
2.2982 4.4779 0.0678
-3.2833 -2.8799 2.5028
Li Mn Tl
1 1 1
Cartesian
7.3274 4.5170 0.0000
2.4502 1.5104 0.0000
4.8849 3.0113 0.0000

Ordering by calculated energy gives the sequence (b), (a), with the first entry being the most stable.